Density functional theory data (PBE) for a relaxed LiTcSn2 crystal.

abc: 3.3997 3.3997 6.2619
angles: 90.00 90.00 90.00
Atoms (fractional coordinates):
Li 0.5000 0.5000 0.5000
Sn 0.0000 0.0000 0.2453
Sn 0.0000 0.0000 0.7547
Tc 0.5000 0.5000 0.0000

**Energy of formation from the pure elements**: -0.0689 eV per atom
**Total magnetic moment**: 0.000 μB/atom
**DFT total energy**: -20.6 eV per cell